Entry 1:
3
Lattice="-0.981 -0.101 -2.939 3.818 -1.484 -1.223 -3.093 -2.728 1.126" Properties=species:S:1:pos:R:3 comment="MgGeRh | the Alexandria database | GGA-PBE | relaxed" e_tot_ev_per_atom=-5.006 crystal_system=hexagonal pbc="T T T"
Ge -0.163 -0.017 -0.488
Rh -0.953 -2.330 -0.148
Mg 0.860 -1.966 -2.401



Entry 2:
6
Lattice="-2.379 -3.133 1.839 1.755 -0.626 -3.922 4.373 -1.985 2.273" Properties=species:S:1:pos:R:3 comment="Mg2GeRh3 | the Alexandria database | GGA-PBE | relaxed" e_tot_ev_per_atom=-5.618 crystal_system=trigonal pbc="T T T"
Mg 0.505 -2.981 0.702
Mg 3.244 -2.763 -0.512
Ge 0.000 0.000 0.000
Rh 2.186 -0.993 1.137
Rh 2.709 -3.982 1.847
Rh 1.039 -1.762 -1.657



Number 1 is which compound? MgGeRh



What is the formula in the second record? Mg2GeRh3